{"formula": "Ce2ThSb", "functional": "PBE", "state": "relaxed", "magnetic_moment_mub_per_cell": 1.732, "raw_formation_energy_kj_per_mol_fu": -190, "e_above_lowest_polymorph_mev_per_atom": 0, "vol_a3_per_atom": 27.75, "lattice": [[4.785, 0.000, 0.000], [0.000, 4.785, 0.000], [0.000, 0.000, 4.848]], "species": ["Ce", "Ce", "Th", "Sb"], "fractional_positions": [[0.000, 0.500, 0.000], [0.500, 0.000, 0.000], [0.000, 0.000, 0.500], [0.500, 0.500, 0.500]]}

{"formula": "Ce5Th2Sb5", "functional": "PBE", "state": "relaxed", "magnetic_moment_mub_per_cell": 6.397, "raw_formation_energy_kj_per_mol_fu": -775, "vol_a3_per_atom": 28.98, "lattice": [[8.186, -2.091, 0.000], [8.186, 2.091, 0.000], [-6.360, 0.000, 10.159]], "species": ["Ce", "Ce", "Ce", "Ce", "Ce", "Th", "Th", "Sb", "Sb", "Sb", "Sb", "Sb"], "fractional_positions": [[0.000, 0.000, 0.000], [0.157, 0.157, 0.501], [0.247, 0.247, 0.223], [0.753, 0.753, 0.777], [0.843, 0.843, 0.499], [0.066, 0.066, 0.754], [0.934, 0.934, 0.246], [0.341, 0.341, 0.009], [0.389, 0.389, 0.732], [0.500, 0.500, 0.500], [0.611, 0.611, 0.268], [0.659, 0.659, 0.991]]}

{"formula": "Ce2ThSb", "functional": "PBE", "state": "relaxed", "magnetic_moment_mub_per_cell": 1.669, "raw_formation_energy_kj_per_mol_fu": -172, "e_above_lowest_polymorph_mev_per_atom": 48, "vol_a3_per_atom": 29.20, "lattice": [[4.125, 0.000, 0.000], [0.000, 4.125, 0.000], [0.000, 0.000, 6.864]], "species": ["Ce", "Ce", "Th", "Sb"], "fractional_positions": [[0.000, 0.000, 0.208], [0.000, 0.000, 0.792], [0.500, 0.500, 0.500], [0.500, 0.500, 0.000]]}

{"formula": "Ce3Th5Sb8", "functional": "PBE", "state": "relaxed", "magnetic_moment_mub_per_cell": 2.811, "raw_formation_energy_kj_per_mol_fu": -1503, "vol_a3_per_atom": 32.33, "lattice": [[4.501, 2.599, 7.370], [-4.501, 2.599, 7.370], [0.000, -5.197, 7.370]], "species": ["Ce", "Ce", "Ce", "Th", "Th", "Th", "Th", "Th", "Sb", "Sb", "Sb", "Sb", "Sb", "Sb", "Sb", "Sb"], "fractional_positions": [[0.000, 0.500, 0.500], [0.500, 0.000, 0.500], [0.500, 0.500, 0.000], [0.000, 0.000, 0.000], [0.000, 0.000, 0.500], [0.000, 0.500, 0.000], [0.500, 0.000, 0.000], [0.500, 0.500, 0.500], [0.250, 0.250, 0.250], [0.250, 0.250, 0.749], [0.250, 0.749, 0.250], [0.251, 0.750, 0.750], [0.749, 0.250, 0.250], [0.750, 0.251, 0.750], [0.750, 0.750, 0.251], [0.750, 0.750, 0.750]]}

{"formula": "Ce2ThSb3", "functional": "PBE", "state": "relaxed", "magnetic_moment_mub_per_cell": 7.393, "raw_formation_energy_kj_per_mol_fu": -587, "e_above_lowest_polymorph_mev_per_atom": 0, "vol_a3_per_atom": 32.33, "lattice": [[6.374, 0.000, 0.000], [0.000, 13.524, 0.000], [-0.019, 0.000, 9.002]], "species": ["Ce", "Ce", "Ce", "Ce", "Ce", "Ce", "Ce", "Ce", "Th", "Th", "Th", "Th", "Sb", "Sb", "Sb", "Sb", "Sb", "Sb", "Sb", "Sb", "Sb", "Sb", "Sb", "Sb"], "fractional_positions": [[0.249, 0.250, 0.125], [0.249, 0.250, 0.625], [0.250, 0.583, 0.125], [0.250, 0.917, 0.625], [0.750, 0.083, 0.375], [0.750, 0.417, 0.875], [0.751, 0.750, 0.375], [0.751, 0.750, 0.875], [0.251, 0.583, 0.625], [0.251, 0.917, 0.125], [0.749, 0.083, 0.875], [0.749, 0.417, 0.375], [0.249, 0.084, 0.874], [0.249, 0.416, 0.374], [0.250, 0.083, 0.375], [0.250, 0.417, 0.875], [0.251, 0.750, 0.375], [0.251, 0.750, 0.875], [0.749, 0.250, 0.125], [0.749, 0.250, 0.625], [0.750, 0.583, 0.125], [0.750, 0.917, 0.625], [0.751, 0.584, 0.626], [0.751, 0.916, 0.126]]}

{"formula": "Ce2ThSb", "functional": "PBE", "state": "relaxed", "magnetic_moment_mub_per_cell": 2.983, "raw_formation_energy_kj_per_mol_fu": -159, "e_above_lowest_polymorph_mev_per_atom": 82, "vol_a3_per_atom": 28.11, "lattice": [[6.390, 0.000, 0.000], [0.000, 5.449, 0.000], [-0.811, 0.000, 6.459]], "species": ["Ce", "Ce", "Ce", "Ce", "Th", "Th", "Sb", "Sb"], "fractional_positions": [[0.015, 0.250, 0.111], [0.418, 0.750, 0.822], [0.582, 0.250, 0.178], [0.985, 0.750, 0.889], [0.172, 0.250, 0.581], [0.828, 0.750, 0.419], [0.309, 0.750, 0.304], [0.691, 0.250, 0.696]]}

{"formula": "Ce2Th3Sb3", "functional": "PBE", "state": "relaxed", "magnetic_moment_mub_per_cell": 4.427, "raw_formation_energy_kj_per_mol_fu": -571, "vol_a3_per_atom": 29.73, "lattice": [[9.346, 0.000, 0.000], [-4.673, 8.094, 0.000], [0.000, 0.000, 6.289]], "species": ["Ce", "Ce", "Ce", "Ce", "Th", "Th", "Th", "Th", "Th", "Th", "Sb", "Sb", "Sb", "Sb", "Sb", "Sb"], "fractional_positions": [[0.333, 0.667, 0.000], [0.333, 0.667, 0.500], [0.667, 0.333, 0.000], [0.667, 0.333, 0.500], [0.000, 0.252, 0.250], [0.000, 0.748, 0.750], [0.252, 0.000, 0.250], [0.252, 0.252, 0.750], [0.748, 0.000, 0.750], [0.748, 0.748, 0.250], [0.000, 0.389, 0.750], [0.000, 0.611, 0.250], [0.389, 0.000, 0.750], [0.389, 0.389, 0.250], [0.611, 0.000, 0.250], [0.611, 0.611, 0.750]]}

{"formula": "Ce3ThSb4", "functional": "PBE", "state": "relaxed", "magnetic_moment_mub_per_cell": 2.521, "raw_formation_energy_kj_per_mol_fu": -788, "e_above_lowest_polymorph_mev_per_atom": 3, "vol_a3_per_atom": 32.28, "lattice": [[6.368, 0.000, 0.000], [0.000, 6.368, 0.000], [0.000, 0.000, 6.368]], "species": ["Ce", "Ce", "Ce", "Th", "Sb", "Sb", "Sb", "Sb"], "fractional_positions": [[0.000, 0.000, 0.500], [0.000, 0.500, 0.000], [0.500, 0.000, 0.000], [0.500, 0.500, 0.500], [0.000, 0.000, 0.000], [0.000, 0.500, 0.500], [0.500, 0.000, 0.500], [0.500, 0.500, 0.000]]}

{"formula": "Ce2ThSb", "functional": "PBE", "state": "relaxed", "magnetic_moment_mub_per_cell": 0.001, "raw_formation_energy_kj_per_mol_fu": -184, "e_above_lowest_polymorph_mev_per_atom": 17, "vol_a3_per_atom": 28.57, "lattice": [[4.493, 0.000, 0.000], [0.000, 4.382, 0.000], [-2.064, 0.000, 11.611]], "species": ["Ce", "Ce", "Ce", "Ce", "Th", "Th", "Sb", "Sb"], "fractional_positions": [[0.001, 0.250, 0.117], [0.401, 0.250, 0.886], [0.599, 0.750, 0.114], [0.999, 0.750, 0.883], [0.299, 0.750, 0.608], [0.701, 0.250, 0.392], [0.174, 0.750, 0.327], [0.826, 0.250, 0.673]]}

{"formula": "Ce2ThSb3", "functional": "PBE", "state": "relaxed", "magnetic_moment_mub_per_cell": 3.728, "raw_formation_energy_kj_per_mol_fu": -506, "e_above_lowest_polymorph_mev_per_atom": 139, "vol_a3_per_atom": 33.48, "lattice": [[3.869, 2.234, 7.747], [-3.869, 2.234, 7.747], [0.000, -4.468, 7.747]], "species": ["Ce", "Ce", "Ce", "Ce", "Th", "Th", "Sb", "Sb", "Sb", "Sb", "Sb", "Sb"], "fractional_positions": [[0.166, 0.166, 0.166], [0.334, 0.334, 0.334], [0.666, 0.666, 0.666], [0.834, 0.834, 0.834], [0.000, 0.000, 0.000], [0.500, 0.500, 0.500], [0.084, 0.750, 0.416], [0.250, 0.584, 0.916], [0.416, 0.084, 0.750], [0.584, 0.916, 0.250], [0.750, 0.416, 0.084], [0.916, 0.250, 0.584]]}

{"formula": "Ce2ThSb", "functional": "PBE", "state": "relaxed", "magnetic_moment_mub_per_cell": 0.002, "raw_formation_energy_kj_per_mol_fu": -90, "e_above_lowest_polymorph_mev_per_atom": 261, "vol_a3_per_atom": 28.25, "lattice": [[0.000, 3.837, 3.837], [3.837, 0.000, 3.837], [3.837, 3.837, 0.000]], "species": ["Ce", "Ce", "Th", "Sb"], "fractional_positions": [[0.250, 0.250, 0.250], [0.750, 0.750, 0.750], [0.000, 0.000, 0.000], [0.500, 0.500, 0.500]]}

{"formula": "Ce5ThSb6", "functional": "PBE", "state": "relaxed", "magnetic_moment_mub_per_cell": 4.500, "raw_formation_energy_kj_per_mol_fu": -1193, "vol_a3_per_atom": 32.32, "lattice": [[3.900, -6.770, 0.000], [3.900, 6.770, 0.000], [-2.616, 0.000, 7.345]], "species": ["Ce", "Ce", "Ce", "Ce", "Ce", "Th", "Sb", "Sb", "Sb", "Sb", "Sb", "Sb"], "fractional_positions": [[0.000, 0.000, 0.000], [0.167, 0.833, 0.500], [0.333, 0.667, 0.000], [0.667, 0.333, 0.000], [0.833, 0.167, 0.500], [0.500, 0.500, 0.500], [0.083, 0.416, 0.250], [0.250, 0.250, 0.750], [0.416, 0.083, 0.250], [0.584, 0.917, 0.750], [0.750, 0.750, 0.250], [0.917, 0.584, 0.750]]}

{"formula": "Ce4ThSb3", "functional": "PBE", "state": "relaxed", "magnetic_moment_mub_per_cell": 4.182, "raw_formation_energy_kj_per_mol_fu": -398, "vol_a3_per_atom": 28.34, "lattice": [[7.575, -2.531, 0.000], [7.575, 2.531, 0.000], [-1.943, 0.000, 5.913]], "species": ["Ce", "Ce", "Ce", "Ce", "Th", "Sb", "Sb", "Sb"], "fractional_positions": [[0.134, 0.134, 0.078], [0.275, 0.275, 0.706], [0.725, 0.725, 0.294], [0.866, 0.866, 0.922], [0.000, 0.000, 0.500], [0.357, 0.357, 0.284], [0.500, 0.500, 0.000], [0.643, 0.643, 0.716]]}

{"formula": "CeTh5Sb4", "functional": "PBE", "state": "relaxed", "magnetic_moment_mub_per_cell": 0.460, "raw_formation_energy_kj_per_mol_fu": -456, "vol_a3_per_atom": 34.19, "lattice": [[9.346, -2.134, 0.000], [9.346, 2.134, 0.000], [-1.893, 0.000, 8.571]], "species": ["Ce", "Th", "Th", "Th", "Th", "Th", "Sb", "Sb", "Sb", "Sb"], "fractional_positions": [[0.000, 0.000, 0.000], [0.000, 0.000, 0.500], [0.315, 0.315, 0.649], [0.338, 0.338, 0.204], [0.662, 0.662, 0.796], [0.685, 0.685, 0.351], [0.168, 0.168, 0.071], [0.488, 0.488, 0.749], [0.512, 0.512, 0.251], [0.832, 0.832, 0.929]]}

{"formula": "Ce2ThSb4", "functional": "PBE", "state": "relaxed", "magnetic_moment_mub_per_cell": 3.136, "raw_formation_energy_kj_per_mol_fu": -460, "vol_a3_per_atom": 31.97, "lattice": [[4.350, 0.000, 0.000], [0.000, 4.350, 0.000], [0.000, 0.000, 11.825]], "species": ["Ce", "Ce", "Th", "Sb", "Sb", "Sb", "Sb"], "fractional_positions": [[0.000, 0.500, 0.210], [0.500, 0.000, 0.790], [0.000, 0.000, 0.500], [0.000, 0.000, 0.000], [0.000, 0.500, 0.693], [0.500, 0.000, 0.307], [0.500, 0.500, 0.000]]}

{"formula": "CeTh2Sb3", "functional": "PBE", "state": "relaxed", "magnetic_moment_mub_per_cell": 0.967, "raw_formation_energy_kj_per_mol_fu": -561, "vol_a3_per_atom": 32.33, "lattice": [[-2.248, 3.185, 6.775], [2.248, -3.185, 6.775], [2.248, 3.185, -6.775]], "species": ["Ce", "Th", "Th", "Sb", "Sb", "Sb"], "fractional_positions": [[0.000, 0.000, 0.000], [0.333, 0.333, 0.000], [0.667, 0.667, 0.000], [0.166, 0.666, 0.500], [0.500, 0.000, 0.500], [0.834, 0.334, 0.500]]}

{"formula": "Ce3ThSb4", "functional": "PBE", "state": "relaxed", "magnetic_moment_mub_per_cell": 2.806, "raw_formation_energy_kj_per_mol_fu": -790, "e_above_lowest_polymorph_mev_per_atom": 0, "vol_a3_per_atom": 32.37, "lattice": [[4.503, -6.376, 0.000], [4.503, 6.376, 0.000], [0.000, 0.000, 4.510]], "species": ["Ce", "Ce", "Ce", "Th", "Sb", "Sb", "Sb", "Sb"], "fractional_positions": [[0.000, 0.000, 0.000], [0.000, 0.500, 0.500], [0.500, 0.000, 0.500], [0.500, 0.500, 0.000], [0.249, 0.249, 0.500], [0.250, 0.750, 0.000], [0.750, 0.250, 0.000], [0.751, 0.751, 0.500]]}

{"formula": "CeTmTh2Sb4", "functional": "PBE", "state": "relaxed", "magnetic_moment_mub_per_cell": 0.964, "raw_formation_energy_kj_per_mol_fu": -759, "vol_a3_per_atom": 31.45, "lattice": [[7.717, 0.000, 0.000], [0.000, 4.470, 0.000], [-2.590, 0.000, 7.294]], "species": ["Ce", "Tm", "Th", "Th", "Sb", "Sb", "Sb", "Sb"], "fractional_positions": [[0.000, 0.000, 0.000], [0.000, 0.500, 0.500], [0.500, 0.000, 0.500], [0.500, 0.500, 0.000], [0.241, 0.000, 0.743], [0.244, 0.500, 0.253], [0.756, 0.500, 0.747], [0.759, 0.000, 0.257]]}

{"formula": "Ce3TmTh4Sb8", "functional": "PBE", "state": "relaxed", "magnetic_moment_mub_per_cell": 2.857, "raw_formation_energy_kj_per_mol_fu": -1524, "vol_a3_per_atom": 31.89, "lattice": [[4.485, 2.589, 7.323], [-4.485, 2.589, 7.323], [0.000, -5.179, 7.323]], "species": ["Ce", "Ce", "Ce", "Tm", "Th", "Th", "Th", "Th", "Sb", "Sb", "Sb", "Sb", "Sb", "Sb", "Sb", "Sb"], "fractional_positions": [[0.000, 0.500, 0.500], [0.500, 0.000, 0.500], [0.500, 0.500, 0.000], [0.000, 0.000, 0.000], [0.000, 0.000, 0.500], [0.000, 0.500, 0.000], [0.500, 0.000, 0.000], [0.500, 0.500, 0.500], [0.246, 0.246, 0.753], [0.246, 0.753, 0.246], [0.247, 0.754, 0.754], [0.251, 0.251, 0.251], [0.749, 0.749, 0.749], [0.753, 0.246, 0.246], [0.754, 0.247, 0.754], [0.754, 0.754, 0.247]]}

{"formula": "Ce3TmTh2Sb6", "functional": "PBE", "state": "relaxed", "magnetic_moment_mub_per_cell": 2.936, "raw_formation_energy_kj_per_mol_fu": -1173, "vol_a3_per_atom": 31.82, "lattice": [[3.871, -6.709, 0.000], [3.871, 6.709, 0.000], [-2.587, 0.000, 7.350]], "species": ["Ce", "Ce", "Ce", "Tm", "Th", "Th", "Sb", "Sb", "Sb", "Sb", "Sb", "Sb"], "fractional_positions": [[0.000, 0.000, 0.000], [0.331, 0.669, 0.000], [0.669, 0.331, 0.000], [0.500, 0.500, 0.500], [0.166, 0.834, 0.500], [0.834, 0.166, 0.500], [0.092, 0.419, 0.254], [0.257, 0.257, 0.749], [0.419, 0.092, 0.254], [0.581, 0.908, 0.746], [0.743, 0.743, 0.251], [0.908, 0.581, 0.746]]}